[1]
Compound: K2SiAs
Source: Alexandria via LeMat-Bulk
Functional: GGA-PBE
Structure: relaxed

a b c (Å): 7.8135 7.8135 7.8135
angles (deg): 90.00 90.00 90.00
Closest atoms and distances in Å follow each position.
Space group Fm-3m (No. 225)
Inequivalent atoms, fractional coordinates:
K 0.2500 0.2500 0.2500  4 As 3.38, 4 Si 3.38
Si 0.0000 0.0000 0.0000  8 K 3.38
As 0.0000 0.0000 0.5000  8 K 3.38

ΔE to the lowest computed polymorph = 635 meV per atom
Calculated total energy = -42.68 eV/cell
Uncorrected formation energy = 0.40 eV per atom

=====

[2]
Compound: AcNd4Sm3
Source: Alexandria via LeMat-Bulk
Functional: GGA-PBE
Structure: relaxed

a b c (Å): 11.9708 7.4789 6.4524
angles (deg): 90.00 90.00 90.00
Closest atoms and distances in Å follow each position.
Space group Pmn2_1 (No. 31)
Inequivalent atoms, fractional coordinates:
Ac 0.0000 0.1250 0.0000  6 Sm 3.70-3.77, 6 Nd 3.70-3.79
Nd 0.0000 0.3787 0.4917  6 Nd 3.65-3.74, 4 Sm 3.68-3.80, 2 Ac 3.70-3.79
Nd 0.0000 0.6259 0.9952  6 Nd 3.65-3.74, 4 Sm 3.69-3.71, 2 Ac 3.73-3.75
Nd 0.2467 0.6231 0.6632  6 Nd 3.65-3.72, 5 Sm 3.65-3.77, 1 Ac 3.72
Sm 0.0000 0.8713 0.4953  6 Nd 3.65-3.80, 4 Sm 3.69-3.71, 2 Ac 3.72-3.77
Sm 0.2487 0.1268 0.6595  6 Nd 3.69-3.77, 4 Sm 3.69-3.74, 2 Ac 3.70

ΔE to the lowest computed polymorph = 21 meV per atom
Calculated total energy = -74.00 eV/cell

=====

[3]
Compound: HfIn2AgC
Source: Alexandria via LeMat-Bulk
Functional: GGA-PBE
Structure: relaxed

a b c (Å): 4.7666 4.7666 4.4390
angles (deg): 90.00 90.00 90.00
Closest atoms and distances in Å follow each position.
Space group P4/mmm (No. 123)
Inequivalent atoms, fractional coordinates:
Hf 0.0000 0.0000 0.0000  2 C 2.22
In 0.0000 0.5000 0.5000  2 C 2.38
Ag 0.5000 0.5000 0.0000  8 In 3.26, 4 Hf 3.37
C 0.0000 0.0000 0.5000  2 Hf 2.22, 4 In 2.38

Calculated total energy = -25.51 eV/cell

=====

[4]
Compound: SrSm2C
Source: Alexandria via LeMat-Bulk
Functional: GGA-PBE
Structure: relaxed

a b c (Å): 3.7187 3.7187 30.8565
angles (deg): 90.00 90.00 120.00
Closest atoms and distances in Å follow each position.
Space group R-3m (No. 166, hexagonal axes)
Inequivalent atoms, fractional coordinates:
Sr 0.0000 0.0000 0.0000  6 Sr 3.72, 2 Sm 3.77
Sm 0.0000 0.0000 0.1222  3 C 2.55
C 0.0000 0.0000 0.5000  6 Sm 2.55

Calculated total energy = -61.03 eV/cell

=====

[5]
Compound: Pm3BiS2
Source: Alexandria via LeMat-Bulk
Functional: GGA-PBE
Structure: relaxed

a b c (Å): 7.4160 11.3291 8.5824
angles (deg): 90.00 90.00 90.00
Closest atoms and distances in Å follow each position.
Space group Imma (No. 74)
Inequivalent atoms, fractional coordinates:
Pm 0.2299 0.0000 0.0000  4 S 2.81-3.06
Pm 0.2500 0.2500 0.2500  4 S 2.85
Bi 0.0000 0.2500 0.9087  6 Pm 3.40-3.47
S 0.0000 0.0604 0.2853  6 Pm 2.81-3.06

Calculated total energy = -136.41 eV/cell
Uncorrected formation energy = -1.29 eV per atom

=====

[6]
Compound: LiCuRu2
Source: Alexandria via LeMat-Bulk
Functional: GGA-PBE
Structure: relaxed

a b c (Å): 5.8735 5.8735 5.8735
angles (deg): 90.00 90.00 90.00
Closest atoms and distances in Å follow each position.
Space group Fm-3m (No. 225)
Inequivalent atoms, fractional coordinates:
Li 0.0000 0.0000 0.0000  8 Ru 2.54
Cu 0.0000 0.0000 0.5000  8 Ru 2.54
Ru 0.2500 0.2500 0.2500  4 Li 2.54, 4 Cu 2.54

ΔE to the lowest computed polymorph = 316 meV per atom
Calculated total energy = -90.97 eV/cell

=====

[7]
Compound: TeRu2
Source: Alexandria via LeMat-Bulk
Functional: GGA-PBE
Structure: relaxed

a b c (Å): 9.3901 3.4436 7.0081
angles (deg): 90.00 114.62 90.00
Closest atoms and distances in Å follow each position.
Space group C2/m (No. 12)
Inequivalent atoms, fractional coordinates:
Te 0.0211 0.0000 0.2773  5 Ru 2.59-2.79
Ru 0.1558 0.5000 0.0179  6 Ru 2.56-2.83, 2 Te 2.67
Ru 0.1853 0.5000 0.6496  3 Te 2.59-2.79, 3 Ru 2.71-2.78

ΔE to the lowest computed polymorph = 246 meV per atom
Calculated total energy = -82.46 eV/cell
Uncorrected formation energy = 0.36 eV per atom

=====

[8]
Compound: Cr3SnPb
Source: Alexandria via LeMat-Bulk
Functional: GGA-PBE
Structure: relaxed

a b c (Å): 5.1763 5.1763 5.1763
angles (deg): 90.00 90.00 90.00
Closest atoms and distances in Å follow each position.
Space group Pm-3m (No. 221)
Inequivalent atoms, fractional coordinates:
Cr 0.0000 0.0000 0.5000  2 Pb 2.59
Sn 0.5000 0.5000 0.5000  12 Cr 3.66
Pb 0.0000 0.0000 0.0000  6 Cr 2.59

ΔE to the lowest computed polymorph = 208 meV per atom
Calculated total energy = -29.78 eV/cell

=====

[9]
Compound: Ho6ErIn5
Source: Alexandria via LeMat-Bulk
Functional: GGA-PBE
Structure: relaxed

a b c (Å): 5.3462 7.4880 16.2096
angles (deg): 90.00 90.00 90.00
Closest atoms and distances in Å follow each position.
Space group Immm (No. 71)
Inequivalent atoms, fractional coordinates:
Ho 0.0000 0.2386 0.0000  6 In 3.16-3.25, 2 Er 3.31
Ho 0.0000 0.2552 0.3284  7 In 3.23-3.38, 1 Er 3.37
Er 0.0000 0.0000 0.5000  8 Ho 3.31-3.37, 4 In 3.65
In 0.0000 0.0000 0.1677  8 Ho 3.23-3.25
In 0.0000 0.5000 0.1530  8 Ho 3.16-3.38
In 0.0000 0.5000 0.5000  8 Ho 3.22-3.33

Calculated total energy = -100.21 eV/cell

=====

[10]
Compound: YCd2In
Source: Alexandria via LeMat-Bulk
Functional: GGA-PBE
Structure: relaxed

a b c (Å): 4.4563 4.4563 21.8327
angles (deg): 90.00 90.00 90.00
Closest atoms and distances in Å follow each position.
Space group I-42d (No. 122)
Inequivalent atoms, fractional coordinates:
Y 0.0000 0.0000 0.0000  4 In 3.15, 4 Cd 3.17
Cd 0.2360 0.2500 0.6250  4 Cd 3.06-3.24, 2 In 3.13, 2 Y 3.17
In 0.0000 0.0000 0.5000  4 Cd 3.13, 4 Y 3.15

Calculated total energy = -45.23 eV/cell

=====

[11]
Compound: PmNdEu2
Source: Alexandria via LeMat-Bulk
Functional: GGA-PBE
Structure: relaxed

a b c (Å): 3.7303 3.7303 37.1204
angles (deg): 90.00 90.00 120.00
Closest atoms and distances in Å follow each position.
Space group R-3m (No. 166, hexagonal axes)
Inequivalent atoms, fractional coordinates:
Pm 0.0000 0.0000 0.0000  6 Pm 3.73, 6 Eu 3.76
Nd 0.0000 0.0000 0.5000  6 Nd 3.73, 6 Eu 3.78
Eu 0.0000 0.0000 0.2503  6 Eu 3.73, 3 Pm 3.76, 3 Nd 3.78

ΔE to the lowest computed polymorph = 0 meV per atom
Calculated total energy = -89.30 eV/cell

=====

[12]
Compound: AcNdPt2
Source: Alexandria via LeMat-Bulk
Functional: GGA-PBE
Structure: relaxed

a b c (Å): 4.2262 4.2262 22.0095
angles (deg): 90.00 90.00 120.00
Closest atoms and distances in Å follow each position.
Space group R3m (No. 160, hexagonal axes)
Inequivalent atoms, fractional coordinates:
Ac 0.0000 0.0000 0.0000  6 Pt 3.07-3.14
Nd 0.0000 0.0000 0.8272  6 Pt 2.96-3.05
Pt 0.0000 0.0000 0.2438  3 Nd 3.05, 3 Ac 3.14
Pt 0.0000 0.0000 0.4177  3 Nd 2.96, 3 Ac 3.07

ΔE to the lowest computed polymorph = 130 meV per atom
Calculated total energy = -75.06 eV/cell

=====

The highest calculated total energy belongs to which entry? HfIn2AgC